# Cs2CdH2Br6

A relaxed structure of Cs2CdH2Br6 (GGA-PBE, Alexandria).

Cell lengths 7.986, 7.567, 9.307 Å; angles 121.45, 90.00, 121.85 degrees
Fractional coordinates of all 11 atoms:
1 Cs 0.752 0.504 0.261
2 Cs 0.248 0.496 0.739
3 Cd 0.500 0.000 0.500
4 H 0.881 0.761 0.760
5 H 0.119 0.239 0.240
6 Br 0.803 0.605 0.826
7 Br 0.277 0.032 0.305
8 Br 0.245 0.968 0.695
9 Br 0.723 0.968 0.695
10 Br 0.755 0.032 0.305
11 Br 0.197 0.395 0.174

Computed properties:
- Total DFT energy (no corrections): -2.71 eV/atom
- Crystal system: monoclinic